[1]
Crystalline SrTcRu2 at its relaxed geometry. Source: Alexandria via LeMat-Bulk, functional GGA-PBE.

Unit cell a=6.0613 b=6.0613 c=6.0613 alpha=104.72 beta=104.72 gamma=119.46
Atoms (fractional coordinates):
1 Sr 0.0000 0.0000 0.0000
2 Sr 0.7500 0.2500 0.5000
3 Tc 0.2500 0.7500 0.5000
4 Tc 0.5000 0.5000 0.0000
5 Ru 0.1960 0.6250 0.0710
6 Ru 0.3750 0.4460 0.5710
7 Ru 0.5540 0.1250 0.9290
8 Ru 0.8750 0.8040 0.4290

ΔE_f: 0.7675 eV per atom
calculated density: 7.690 g cm⁻³
space-group type: I-42d
final energy: -27.53 eV per formula unit
total moment: 0.0 μB per formula unit
DOS(E_F): 17.6 states/eV per cell

[2]
Crystalline NdAl6Au3 at its relaxed geometry. Source: Alexandria via LeMat-Bulk, functional GGA-PBE.

Unit cell a=8.9494 b=4.3750 c=9.8537 alpha=90.00 beta=98.75 gamma=90.00
Atoms (fractional coordinates):
1 Nd 0.1010 0.2500 0.2714
2 Nd 0.8990 0.7500 0.7286
3 Al 0.1010 0.2500 0.9168
4 Al 0.1611 0.7500 0.5084
5 Al 0.2711 0.7500 0.8037
6 Al 0.3468 0.7500 0.2982
7 Al 0.3769 0.2500 0.5392
8 Al 0.4082 0.2500 0.0566
9 Al 0.5918 0.7500 0.9434
10 Al 0.6231 0.7500 0.4608
11 Al 0.6532 0.2500 0.7018
12 Al 0.7289 0.2500 0.1963
13 Al 0.8389 0.2500 0.4916
14 Al 0.8990 0.7500 0.0832
15 Au 0.1298 0.2500 0.6507
16 Au 0.1923 0.7500 0.0484
17 Au 0.4998 0.2500 0.3196
18 Au 0.5002 0.7500 0.6804
19 Au 0.8077 0.2500 0.9516
20 Au 0.8702 0.7500 0.3493

ΔE_f: -0.4505 eV per atom
calculated density: 7.813 g cm⁻³
space-group type: P2_1/m
final energy: -41.56 eV per formula unit
total moment: 0.0 μB per formula unit
DOS(E_F): 5.8 states/eV per cell

[3]
Crystalline AcScGaGe at its relaxed geometry. Source: Alexandria via LeMat-Bulk, functional GGA-PBE.

Unit cell a=5.1905 b=5.1905 c=5.1905 alpha=60.00 beta=60.00 gamma=60.00
Atoms (fractional coordinates):
1 Ac 0.0000 0.0000 0.0000
2 Sc 0.5000 0.5000 0.5000
3 Ga 0.7500 0.7500 0.7500
4 Ge 0.2500 0.2500 0.2500

ΔE_f: -0.4391 eV per atom
calculated density: 6.958 g cm⁻³
space-group type: F-43m
final energy: -19.84 eV per formula unit
total moment: 0.0 μB per formula unit
DOS(E_F): 2.6 states/eV per cell

[4]
Crystalline Pm3YPd3 at its relaxed geometry. Source: Alexandria via LeMat-Bulk, functional GGA-PBE.

Unit cell a=7.1073 b=7.1073 c=7.2299 alpha=91.27 beta=91.27 gamma=97.21
Atoms (fractional coordinates):
1 Pm 0.1764 0.8236 0.0000
2 Pm 0.2522 0.7478 0.5000
3 Pm 0.3471 0.3471 0.1305
4 Pm 0.6529 0.6529 0.8695
5 Pm 0.7478 0.2522 0.5000
6 Pm 0.8236 0.1764 0.0000
7 Y 0.2579 0.2579 0.6238
8 Y 0.7421 0.7421 0.3762
9 Pd 0.0185 0.5013 0.7797
10 Pd 0.0625 0.0625 0.3106
11 Pd 0.4987 0.9815 0.2203
12 Pd 0.5013 0.0185 0.7797
13 Pd 0.9375 0.9375 0.6894
14 Pd 0.9815 0.4987 0.2203

ΔE_f: -0.6335 eV per atom
calculated density: 7.733 g cm⁻³
space-group type: C2/m
final energy: -40.73 eV per formula unit
total moment: 0.0 μB per formula unit
DOS(E_F): 11.7 states/eV per cell

[5]
Crystalline AlRe2Te at its relaxed geometry. Source: Alexandria via LeMat-Bulk, functional GGA-PBE.

Unit cell a=4.6277 b=4.6277 c=5.0831 alpha=100.55 beta=100.55 gamma=38.39
Atoms (fractional coordinates):
1 Al 0.0000 0.0000 0.0000
2 Re 0.2605 0.2605 0.7745
3 Re 0.7395 0.7395 0.2255
4 Te 0.5000 0.5000 0.5000

calculated density: 13.194 g cm⁻³
space-group type: C2/m
final energy: -29.91 eV per formula unit
total moment: 0.0 μB per formula unit
DOS(E_F): 3.4 states/eV per cell
uncorrected formation energy: 468.6 meV per atom

[6]
Crystalline CdNiAg2W at its relaxed geometry. Source: Alexandria via LeMat-Bulk, functional GGA-PBE.

Unit cell a=4.8724 b=4.8724 c=4.6010 alpha=90.00 beta=90.00 gamma=90.00
Atoms (fractional coordinates):
1 Cd 0.0000 0.0000 0.0000
2 Ni 0.0000 0.0000 0.5000
3 Ag 0.0000 0.5000 0.0000
4 Ag 0.5000 0.0000 0.0000
5 W 0.5000 0.5000 0.5000

ΔE_f: 1.9670 eV per atom
calculated density: 8.676 g cm⁻³
space-group type: P4/mmm
final energy: -15.52 eV per formula unit
total moment: 0.0 μB per formula unit
DOS(E_F): 13.7 states/eV per cell

[7]
Crystalline TiRhS4 at its relaxed geometry. Source: Alexandria via LeMat-Bulk, functional GGA-PBE.

Unit cell a=5.9517 b=5.7430 c=5.8364 alpha=90.00 beta=92.13 gamma=90.00
Atoms (fractional coordinates):
1 Ti 0.0000 0.0000 0.0000
2 Ti 0.0000 0.5000 0.5000
3 Rh 0.5000 0.0000 0.5000
4 Rh 0.5000 0.5000 0.0000
5 S 0.1372 0.1322 0.3664
6 S 0.1372 0.3678 0.8664
7 S 0.3790 0.6202 0.3745
8 S 0.3790 0.8798 0.8745
9 S 0.6210 0.1202 0.1255
10 S 0.6210 0.3798 0.6255
11 S 0.8628 0.6322 0.1336
12 S 0.8628 0.8678 0.6336

calculated density: 4.648 g cm⁻³
space-group type: P2_1/c
final energy: -35.64 eV per formula unit
total moment: 0.0 μB per formula unit
DOS(E_F): 7.2 states/eV per cell
uncorrected formation energy: -647.7 meV per atom

[8]
Crystalline Ag2RhPb at its relaxed geometry. Source: Alexandria via LeMat-Bulk, functional GGA-PBE.

Unit cell a=4.7182 b=4.7182 c=4.7182 alpha=60.00 beta=60.00 gamma=60.00
Atoms (fractional coordinates):
1 Ag 0.0000 0.0000 0.0000
2 Ag 0.2500 0.2500 0.2500
3 Rh 0.5000 0.5000 0.5000
4 Pb 0.7500 0.7500 0.7500

ΔE_f: 0.1441 eV per atom
calculated density: 11.757 g cm⁻³
space-group type: F-43m
final energy: -16.19 eV per formula unit
total moment: 0.0 μB per formula unit
DOS(E_F): 2.1 states/eV per cell

Q: DOS(E_F) of number 1 (SrTcRu2)?
A: 17.6 states/eV per cell